Material: ZnSi5
Method: DFT, PBE
State: optimized geometry

The crystal system is hexagonal. The calculation puts the total magnetization at 0.00 μB per formula unit. As for the density of states at the Fermi level: 0.184 states/eV/atom. The calculation puts the excess energy over the best structure of this formula in the dataset at 187 meV/atom. Its energy relative to the elements, uncorrected is 0.53 eV/atom. For the calculated volume, the calculation gives 97 Å³/cell.

It has space group P6/mmm (No. 191), with a = 5.1269 Å, b = 5.1269 Å, c = 4.2772 Å, α = 90.00°, β = 90.00° and γ = 120.00°. The inequivalent atoms are Zn at (0.0000, 0.0000, 0.0000), Si at (0.0000, 0.5000, 0.5000) and Si at (0.3333, 0.6667, 0.0000).

Material: In7BiPb2
Method: DFT, PBE
State: optimized geometry

The crystal system is orthorhombic. Its calculated formation energy is 1.18 kcal/mol of atoms. The calculation puts the total magnetization at 0.00 μB per formula unit. As for the density of states at the Fermi level: 0.479 states/eV/atom. For the calculated volume, the calculation gives 583 Å³/cell.

It has space group Cmmm (No. 65), with a = 6.346 Å, b = 27.456 Å, c = 3.348 Å, α = 90.00°, β = 90.00° and γ = 90.00°. The inequivalent atoms are In at (0.000, 0.000, 0.000), In at (0.000, 0.186, 0.500), In at (0.246, 0.402, 0.000), Bi at (0.000, 0.500, 0.500) and Pb at (0.000, 0.291, 0.000).

Material: LaN2F4
Method: DFT, PBE
State: optimized geometry

The crystal system is monoclinic. The calculation puts the total magnetization at 5.00 μB per formula unit. As for the density of states at the Fermi level: 0.027 states/eV/atom. Its energy relative to the elements, uncorrected is -0.96 eV/atom. For the calculated volume, the calculation gives 258 Å³/cell.

It has space group C2/m (No. 12), with a = 14.577 Å, b = 4.550 Å, c = 3.900 Å, α = 90.00°, β = 92.00° and γ = 90.00°. The inequivalent atoms are La at (0.000, 0.000, 0.000), N at (0.197, 0.500, 0.240), F at (0.079, 0.500, 0.068) and F at (0.091, 0.000, 0.520).

What did the first record say?
Material: ZnSi5
Method: DFT, PBE
State: optimized geometry

The crystal system is hexagonal. The calculation puts the total magnetization at 0.00 μB per formula unit. As for the density of states at the Fermi level: 0.184 states/eV/atom. The calculation puts the excess energy over the best structure of this formula in the dataset at 187 meV/atom. Its energy relative to the elements, uncorrected is 0.53 eV/atom. For the calculated volume, the calculation gives 97 Å³/cell.

It has space group P6/mmm (No. 191), with a = 5.1269 Å, b = 5.1269 Å, c = 4.2772 Å, α = 90.00°, β = 90.00° and γ = 120.00°. The inequivalent atoms are Zn at (0.0000, 0.0000, 0.0000), Si at (0.0000, 0.5000, 0.5000) and Si at (0.3333, 0.6667, 0.0000).